(1)
Rb3PPb (PBE-GGA, relaxed); volume = 280.1 Å³/cell; formation energy from the elements = 0.2074 eV per atom; energy above the lowest structure with this stoichiometry = 0 meV per atom
1.0
6.543 0.000 0.000
0.000 6.543 0.000
0.000 0.000 6.543
Rb P Pb
3 1 1
Direct
0.000 0.000 0.500
0.000 0.500 0.000
0.500 0.000 0.000
0.000 0.000 0.000
0.500 0.500 0.500

(2)
Ce2AlGe6Rh (PBE-GGA, relaxed); volume = 412.6 Å³/cell; formation energy from the elements = -0.3738 eV per atom
1.0
3.165 1.828 11.887
-3.165 1.828 11.887
0.000 -3.655 11.887
Ce Al Ge Rh
4 2 12 2
Direct
0.119 0.119 0.119
0.295 0.295 0.295
0.705 0.705 0.705
0.881 0.881 0.881
0.000 0.000 0.000
0.500 0.500 0.500
0.058 0.664 0.664
0.232 0.232 0.663
0.232 0.663 0.232
0.336 0.336 0.942
0.336 0.942 0.336
0.337 0.768 0.768
0.663 0.232 0.232
0.664 0.058 0.664
0.664 0.664 0.058
0.768 0.337 0.768
0.768 0.768 0.337
0.942 0.336 0.336
0.432 0.432 0.432
0.568 0.568 0.568

(3)
HfZr2Cd (PBE-GGA, relaxed); volume = 88.0 Å³/cell; formation energy from the elements = -0.0469 eV per atom
1.0
4.451 0.000 0.000
0.000 4.451 0.000
0.000 0.000 4.442
Hf Zr Cd
1 2 1
Direct
0.000 0.000 0.000
0.000 0.500 0.500
0.500 0.000 0.500
0.500 0.500 0.000

(4)
MgAl2Ga8 (PBE-GGA, relaxed); volume = 201.1 Å³/cell; formation energy from the elements = -0.0143 eV per atom; energy above the lowest structure with this stoichiometry = 0 meV per atom
1.0
4.164 0.000 0.000
0.112 6.494 0.000
1.891 2.169 7.436
Mg Al Ga
1 2 8
Direct
0.000 0.000 0.000
0.273 0.366 0.457
0.727 0.634 0.543
0.093 0.453 0.808
0.185 0.906 0.631
0.361 0.813 0.280
0.451 0.281 0.096
0.549 0.719 0.904
0.639 0.187 0.720
0.815 0.094 0.369
0.907 0.547 0.192

(5)
Ac5Tb3Te8 (PBE-GGA, relaxed); volume = 550.8 Å³/cell; formation energy from raw total energies = -1.404 eV per atom
1.0
4.540 2.621 7.714
-4.540 2.621 7.714
0.000 -5.242 7.714
Ac Tb Te
5 3 8
Direct
0.000 0.000 0.000
0.000 0.500 0.500
0.500 0.000 0.500
0.500 0.500 0.000
0.500 0.500 0.500
0.000 0.000 0.500
0.000 0.500 0.000
0.500 0.000 0.000
0.232 0.750 0.750
0.241 0.241 0.241
0.250 0.250 0.768
0.250 0.768 0.250
0.750 0.232 0.750
0.750 0.750 0.232
0.759 0.759 0.759
0.768 0.250 0.250

(6)
OsPt2Br (PBE-GGA, relaxed); volume = 73.0 Å³/cell; formation energy from raw total energies = 0.534 eV per atom; energy above the lowest structure with this stoichiometry = 92 meV per atom
1.0
2.922 0.000 0.000
0.000 3.602 0.000
0.000 0.000 6.933
Os Pt Br
1 2 1
Direct
0.000 0.000 0.000
0.000 0.000 0.605
0.500 0.500 0.820
0.000 0.500 0.274

(7)
Cd2MoPb (PBE-GGA, relaxed); volume = 83.0 Å³/cell; formation energy from the elements = 0.5005 eV per atom
1.0
-2.111 2.111 4.657
2.111 -2.111 4.657
2.111 2.111 -4.657
Cd Mo Pb
2 1 1
Direct
0.000 0.000 0.000
0.750 0.250 0.500
0.500 0.500 0.000
0.250 0.750 0.500

(8)
Tc3SnN (PBE-GGA, relaxed); volume = 146.5 Å³/cell; formation energy from raw total energies = 0.118 eV per atom; energy above the lowest structure with this stoichiometry = 76 meV per atom
1.0
4.915 0.000 0.000
1.263 5.099 0.000
0.018 1.926 5.844
Tc Sn N
6 2 2
Direct
0.000 0.000 0.000
0.008 0.012 0.490
0.517 0.054 0.740
0.528 0.010 0.245
0.813 0.528 0.105
0.933 0.426 0.641
0.341 0.556 0.859
0.355 0.524 0.363
0.127 0.199 0.186
0.713 0.816 0.561

(9)
TmBi2Pd9 (PBE-GGA, relaxed); volume = 210.2 Å³/cell; formation energy from the elements = -0.4729 eV per atom
1.0
4.122 0.000 0.000
0.000 4.122 0.000
0.000 0.000 12.370
Tm Bi Pd
1 2 9
Direct
0.000 0.000 0.000
0.000 0.000 0.329
0.000 0.000 0.671
0.000 0.500 0.164
0.000 0.500 0.500
0.000 0.500 0.836
0.500 0.000 0.164
0.500 0.000 0.500
0.500 0.000 0.836
0.500 0.500 0.000
0.500 0.500 0.336
0.500 0.500 0.664